(1)
Li2Br: PBEsol geometry, meta-GGA SCAN.

```
3
Lattice="3.426 0.000 0.000 0.000 4.404 0.000 0.000 0.000 4.404" Properties=species:S:1:pos:R:3 pbc="T T T"
Br 0.000 0.000 0.000
Li 1.713 2.202 0.000
Li 1.713 0.000 2.202
```

Computed properties:
Space group ... P4/mmm
DOS(E_F) ... 0.883 states/eV/cell
Formation energy from raw total energies ... -0.79 eV per atom

(2)
SnSbOs3: PBEsol geometry, meta-GGA SCAN.

```
5
Lattice="-3.639 -3.119 -0.214 1.177 -1.062 -4.528 2.896 -3.487 1.570" Properties=species:S:1:pos:R:3 pbc="T T T"
Sb 0.217 -3.834 -1.586
Os 0.588 -0.531 -2.264
Os -1.819 -1.559 -0.107
Os 1.448 -1.743 0.785
Sn 0.000 0.000 0.000
```

Computed properties:
Space group ... Pm-3m
DOS(E_F) ... 4.881 states/eV/cell
Formation energy from raw total energies ... 2.65 eV per atom

(3)
KFeBr3: PBEsol geometry, meta-GGA SCAN.

```
5
Lattice="5.133 0.000 0.000 0.000 5.133 0.000 0.000 0.000 5.133" Properties=species:S:1:pos:R:3 pbc="T T T"
Br 0.000 0.000 2.566
Br 0.000 2.566 0.000
Br 2.566 0.000 0.000
Fe 0.000 0.000 0.000
K 2.566 2.566 2.566
```

Computed properties:
Space group ... Pm-3m
DOS(E_F) ... 3.806 states/eV/cell
Formation energy from raw total energies ... -1.07 eV per atom

(4)
BaNaNi2: PBEsol geometry, meta-GGA SCAN.

```
4
Lattice="-2.117 2.721 -3.564 -4.942 0.277 -0.303 -2.322 4.226 1.157" Properties=species:S:1:pos:R:3 pbc="T T T"
Ni -7.035 5.418 -2.033
Ni -2.345 1.806 -0.678
Ba -4.690 3.612 -1.355
Na 0.000 0.000 0.000
```

Computed properties:
Space group ... Fm-3m
DOS(E_F) ... 2.699 states/eV/cell
Final energy ... -18.347 eV per atom